! Ta4Se9I8 | Alexandria via LeMat-Bulk | PBE | optimized geometry; values from VASP
! - Energy: -4.873 eV/atom
! - Uncorrected formation energy: -531 meV/atom
! - Calculated density: 5.101 g/cm³
&SYSTEM
  ibrav = 0, nat = 84, ntyp = 3
/
ATOMIC_SPECIES
Ta 180.95 Ta.upf
Se 78.96 Se.upf
I 126.90 I.upf
ATOMIC_POSITIONS crystal
Ta 0.1868 0.1948 0.0000
Ta 0.1883 0.9944 0.8860
Ta 0.2123 0.2979 0.7901
Ta 0.2152 0.1027 0.6764
Ta 0.2848 0.6027 0.1764
Ta 0.2877 0.7979 0.2901
Ta 0.3117 0.4944 0.3860
Ta 0.3132 0.6948 0.5000
Ta 0.6868 0.3052 0.0000
Ta 0.6883 0.5056 0.8860
Ta 0.7123 0.2021 0.7901
Ta 0.7152 0.3973 0.6764
Ta 0.7848 0.8973 0.1764
Ta 0.7877 0.7021 0.2901
Ta 0.8117 0.0056 0.3860
Ta 0.8132 0.8052 0.5000
Se 0.0571 0.0782 0.9749
Se 0.0744 0.2987 0.9057
Se 0.0787 0.0072 0.7390
Se 0.0951 0.2333 0.6703
Se 0.1783 0.0295 0.0716
Se 0.2059 0.3682 0.9632
Se 0.2131 0.9278 0.7129
Se 0.2313 0.6438 0.3460
Se 0.2383 0.2654 0.6065
Se 0.2617 0.7654 0.1065
Se 0.2687 0.1438 0.8460
Se 0.2869 0.4278 0.2129
Se 0.2941 0.8682 0.4632
Se 0.3217 0.5295 0.5716
Se 0.4049 0.7333 0.1703
Se 0.4213 0.5072 0.2390
Se 0.4256 0.7987 0.4057
Se 0.4429 0.5782 0.4749
Se 0.5571 0.4218 0.9749
Se 0.5744 0.2013 0.9057
Se 0.5787 0.4928 0.7390
Se 0.5951 0.2667 0.6703
Se 0.6783 0.4705 0.0716
Se 0.7059 0.1318 0.9632
Se 0.7131 0.5722 0.7129
Se 0.7313 0.8562 0.3460
Se 0.7383 0.2346 0.6065
Se 0.7617 0.7346 0.1065
Se 0.7687 0.3562 0.8460
Se 0.7869 0.0722 0.2129
Se 0.7941 0.6318 0.4632
Se 0.8217 0.9705 0.5716
Se 0.9049 0.7667 0.1703
Se 0.9213 0.9928 0.2390
Se 0.9256 0.7013 0.4057
Se 0.9429 0.9218 0.4749
I 0.1028 0.8400 0.2948
I 0.1035 0.8363 0.9280
I 0.1055 0.5779 0.1410
I 0.1075 0.2486 0.1660
I 0.1405 0.4367 0.4197
I 0.1417 0.7009 0.5698
I 0.1598 0.0600 0.4954
I 0.1641 0.4678 0.7328
I 0.3359 0.9678 0.2328
I 0.3402 0.5600 0.9954
I 0.3583 0.2009 0.0698
I 0.3595 0.9367 0.9197
I 0.3925 0.7486 0.6660
I 0.3945 0.0779 0.6410
I 0.3965 0.3363 0.4280
I 0.3972 0.3400 0.7948
I 0.6028 0.6600 0.2948
I 0.6035 0.6637 0.9280
I 0.6055 0.9221 0.1410
I 0.6075 0.2514 0.1660
I 0.6405 0.0633 0.4197
I 0.6417 0.7991 0.5698
I 0.6598 0.4400 0.4954
I 0.6641 0.0322 0.7328
I 0.8359 0.5322 0.2328
I 0.8402 0.9400 0.9954
I 0.8583 0.2991 0.0698
I 0.8595 0.5633 0.9197
I 0.8925 0.7514 0.6660
I 0.8945 0.4221 0.6410
I 0.8965 0.1637 0.4280
I 0.8972 0.1600 0.7948
CELL_PARAMETERS angstrom
14.9377 0.0000 0.0000
0.0000 15.0701 0.0000
0.0000 0.0000 14.1709